1.
# LiRePt

LiRePt after structural relaxation (GGA-PBE, the Alexandria database).

Calculated values
E_form = 0.0538 eV/atom
SG = I4mm, No. 107
Mass density = 15.28 g/cm³
DOS(E_F) = 0.698 states/eV per atom

Cell lengths 5.910, 5.910, 5.910 Å; angles 153.10, 153.10, 38.41 degrees
Element x y z (fractional)
Pt1 0.338 0.338 0.000
Li1 0.994 0.994 0.000
Re1 0.668 0.668 0.000



2.
# LiSmErTe3

LiSmErTe3 after structural relaxation (GGA-PBE, the Alexandria database).

Calculated values
SG = P2_1/m, No. 11
Mass density = 6.75 g/cm³
DOS(E_F) = 0.474 states/eV per atom
Energy = -56.2 eV/cell

Cell lengths 4.248, 8.901, 9.482 Å; angles 103.73, 90.00, 90.00 degrees
Element x y z (fractional)
Te1 0.250 0.092 0.876
Er1 0.750 0.331 0.838
Te2 0.250 0.570 0.828
Er2 0.250 0.669 0.162
Sm1 0.250 0.189 0.233
Te3 0.750 0.236 0.500
Li1 0.250 0.085 0.585
Sm2 0.750 0.811 0.767
Te4 0.250 0.764 0.500
Te5 0.750 0.430 0.172
Li2 0.750 0.915 0.415
Te6 0.750 0.908 0.124



3.
# AlCoRh2Se

AlCoRh2Se after structural relaxation (GGA-PBE, the Alexandria database).

Calculated values
SG = P4/mmm, No. 123
Mass density = 6.79 g/cm³
DOS(E_F) = 1.026 states/eV per atom
Energy = -25.7 eV/cell

Cell lengths 4.606, 4.271, 4.606 Å; angles 90.00, 90.00, 90.00 degrees
Element x y z (fractional)
Se1 0.000 0.500 0.000
Al1 0.500 0.500 0.500
Rh1 0.500 0.000 0.000
Rh2 0.000 0.000 0.500
Co1 0.000 0.000 0.000



4.
# Li2AcPrSn2

Li2AcPrSn2 after structural relaxation (GGA-PBE, the Alexandria database).

Calculated values
E_form = -0.6512 eV/atom
SG = P-3m1, No. 164
Mass density = 6.20 g/cm³
DOS(E_F) = 0.281 states/eV per atom

Cell lengths 4.861, 4.861, 8.102 Å; angles 90.00, 90.00, 120.00 degrees
Element x y z (fractional)
Sn1 0.333 0.667 0.268
Ac1 0.000 0.000 0.000
Pr1 0.000 0.000 0.500
Sn2 0.667 0.333 0.732
Li1 0.333 0.667 0.706
Li2 0.667 0.333 0.294



5.
# TlMo2Os

TlMo2Os after structural relaxation (GGA-PBE, the Alexandria database).

Calculated values
E_form = 0.8121 eV/atom
SG = Fm-3m, No. 225
Mass density = 14.36 g/cm³
DOS(E_F) = 0.872 states/eV per atom

Cell lengths 4.578, 4.578, 4.578 Å; angles 60.00, 60.00, 60.00 degrees
Element x y z (fractional)
Os1 0.000 0.000 0.000
Mo1 0.250 0.250 0.250
Tl1 0.500 0.500 0.500
Mo2 0.750 0.750 0.750



6.
# Ni2As2Pd

Ni2As2Pd after structural relaxation (GGA-PBE, the Alexandria database).

Calculated values
E_form = -0.1432 eV/atom
SG = P4/mbm, No. 127
Mass density = 8.81 g/cm³
DOS(E_F) = 0.829 states/eV per atom

Cell lengths 6.859, 6.859, 2.993 Å; angles 90.00, 90.00, 90.00 degrees
Element x y z (fractional)
As1 0.831 0.331 0.500
As2 0.331 0.169 0.500
Ni1 0.629 0.129 0.000
Ni2 0.371 0.871 0.000
Pd1 0.500 0.500 0.000
As3 0.169 0.669 0.500
Ni3 0.129 0.371 0.000
Ni4 0.871 0.629 0.000
As4 0.669 0.831 0.500
Pd2 0.000 0.000 0.000



7.
# ScSi2Ru

ScSi2Ru after structural relaxation (GGA-PBE, the Alexandria database).

Calculated values
SG = Immm, No. 71
Mass density = 5.30 g/cm³
DOS(E_F) = 0.794 states/eV per atom
Energy = -27.9 eV/cell

Cell lengths 5.099, 5.099, 5.099 Å; angles 144.87, 122.51, 69.19 degrees
Element x y z (fractional)
Ru1 0.750 0.250 0.500
Si1 0.522 0.522 0.000
Si2 0.978 0.978 0.000
Sc1 0.250 0.750 0.500



8.
# Pb3I5Cl

Pb3I5Cl after structural relaxation (GGA-PBE, the Alexandria database).

Calculated values
SG = Cmmm, No. 65
Mass density = 5.29 g/cm³
DOS(E_F) = 0.000 states/eV per atom
Energy = -53.9 eV/cell

Cell lengths 4.772, 10.890, 16.528 Å; angles 109.24, 90.00, 90.00 degrees
Element x y z (fractional)
I1 0.500 0.277 0.554
Pb1 0.000 0.348 0.695
Pb2 0.500 0.828 0.656
I2 0.500 0.069 0.138
I3 0.000 0.299 0.000
Pb3 0.500 0.172 0.344
I4 0.000 0.034 0.665
Pb4 0.000 0.652 0.305
I5 0.500 0.931 0.862
Pb5 0.500 0.500 0.000
I6 0.500 0.723 0.446
Pb6 0.000 0.000 0.000
I7 0.000 0.630 0.665
I8 0.000 0.370 0.335
I9 0.000 0.966 0.335
Cl1 0.500 0.405 0.810
Cl2 0.500 0.595 0.190
I10 0.000 0.701 0.000